# K2Hg, optimized geometry, DFT PBE-GGA
# Space group: I4_1/amd (141)
# Offset from the most stable computed form (meV/atom): 30.9
data_K2Hg
_space_group_name_H-M_alt 'P 1'
_space_group_IT_number 1
_cell_length_a 16.592
_cell_length_b 16.592
_cell_length_c 16.592
_cell_angle_alpha 165.38
_cell_angle_beta 165.38
_cell_angle_gamma 20.73
loop_
_space_group_symop_operation_xyz
'x,y,z'
loop_
_atom_site_label
_atom_site_type_symbol
_atom_site_fract_x
_atom_site_fract_y
_atom_site_fract_z
K1 K 0.310 0.560 0.750
K2 K 0.440 0.690 0.750
K3 K 0.560 0.310 0.250
K4 K 0.690 0.440 0.250
Hg1 Hg 0.125 0.875 0.250
Hg2 Hg 0.875 0.125 0.750

# KGaPb, optimized geometry, DFT PBE-GGA
# Space group: P2 (3)
data_KGaPb
_space_group_name_H-M_alt 'P 1'
_space_group_IT_number 1
_cell_length_a 4.716
_cell_length_b 8.634
_cell_length_c 4.929
_cell_angle_alpha 90.00
_cell_angle_beta 90.27
_cell_angle_gamma 90.00
loop_
_space_group_symop_operation_xyz
'x,y,z'
loop_
_atom_site_label
_atom_site_type_symbol
_atom_site_fract_x
_atom_site_fract_y
_atom_site_fract_z
K1 K 0.000 0.000 0.000
K2 K 0.500 0.318 0.500
Ga1 Ga 0.000 0.437 0.000
Ga2 Ga 0.000 0.633 0.500
Pb1 Pb 0.500 0.643 0.000
Pb2 Pb 0.500 0.868 0.500

# TcIrPt, optimized geometry, DFT PBE-GGA
# Space group: I4mm (107)
# Offset from the most stable computed form (meV/atom): 19.1
data_TcIrPt
_space_group_name_H-M_alt 'P 1'
_space_group_IT_number 1
_cell_length_a 6.244
_cell_length_b 6.244
_cell_length_c 6.244
_cell_angle_alpha 154.64
_cell_angle_beta 154.64
_cell_angle_gamma 36.17
loop_
_space_group_symop_operation_xyz
'x,y,z'
loop_
_atom_site_label
_atom_site_type_symbol
_atom_site_fract_x
_atom_site_fract_y
_atom_site_fract_z
Tc1 Tc 0.000 0.000 0.000
Ir1 Ir 0.652 0.652 0.000
Pt1 Pt 0.330 0.330 0.000

Taking the records one at a time from the top gives density values of 3.18 5.23 18.06 Mg/m³.
Taking the records one at a time from the top gives energy of formation from the pure elements values of -0.14 -0.11 -0.15 eV/atom.
Taking the records one at a time from the top gives DOS at the Fermi energy values of 2.96 1.56 4.57 states/eV/cell.